The following is a GGA-PBE calculation of crystalline K2PmRuO6 at its relaxed geometry, from the Alexandria database.

The calculation puts the total moment at 0.0 μB per formula unit. The crystal system is cubic.

It has space group Fm-3m (No. 225), with a = 8.463 Å, b = 8.463 Å, c = 8.463 Å, α = 90.00°, β = 90.00° and γ = 90.00°. The asymmetric unit holds K at (0.250, 0.250, 0.250), Pm at (0.000, 0.000, 0.000), Ru at (0.000, 0.000, 0.500) and O at (0.000, 0.000, 0.275).

=====

The following is a GGA-PBE calculation of crystalline K3Pm3RuO8 at its relaxed geometry, from the Alexandria database.

The calculation puts the total moment at 2.0 μB per formula unit. The crystal system is trigonal.

It has space group R-3m (No. 166, hexagonal axes), with a = 6.9675 Å, b = 6.9675 Å, c = 18.8835 Å, α = 90.00°, β = 90.00° and γ = 120.00°. The asymmetric unit holds K at (0.0000, 0.5000, 0.0000), Pm at (0.0000, 0.5000, 0.5000), Ru at (0.0000, 0.0000, 0.5000), O at (0.0000, 0.0000, 0.2301) and O at (0.0347, 0.5174, 0.2248).

=====

The following is a GGA-PBE calculation of crystalline KPm2RuO8 at its relaxed geometry, from the Alexandria database.

The calculation puts the total moment at 0.8 μB per formula unit. The crystal system is triclinic.

It has space group P-1 (No. 2), with a = 4.227 Å, b = 5.290 Å, c = 7.315 Å, α = 89.98°, β = 74.59° and γ = 89.78°. The asymmetric unit holds K at (0.000, 0.000, 0.000), Pm at (0.377, 0.511, 0.289), Ru at (0.000, 0.000, 0.500), O at (0.173, 0.497, 0.003), O at (0.183, 0.309, 0.591), O at (0.209, 0.778, 0.626) and O at (0.350, 0.977, 0.273).

=====

The following is a GGA-PBE calculation of crystalline K3Pm2RuO6 at its relaxed geometry, from the Alexandria database.

The calculation puts the total moment at 1.0 μB per formula unit. The crystal system is monoclinic.

It has space group C2/m (No. 12), with a = 5.984 Å, b = 10.299 Å, c = 6.552 Å, α = 90.00°, β = 107.31° and γ = 90.00°. The asymmetric unit holds K at (0.000, 0.000, 0.000), K at (0.000, 0.340, 0.000), Pm at (0.000, 0.169, 0.500), Ru at (0.000, 0.500, 0.500), O at (0.221, 0.344, 0.692) and O at (0.245, 0.500, 0.316).

=====

The following is a GGA-PBE calculation of crystalline KPmRuO6 at its relaxed geometry, from the Alexandria database.

The calculation puts the total moment at 0.0 μB per formula unit. The crystal system is trigonal.

It has space group P312 (No. 149), with a = 5.7186 Å, b = 5.7186 Å, c = 5.7396 Å, α = 90.00°, β = 90.00° and γ = 120.00°. The asymmetric unit holds K at (0.0000, 0.0000, 0.0000), Pm at (0.3333, 0.6667, 0.5000), Ru at (0.6667, 0.3333, 0.5000) and O at (0.4056, 0.0553, 0.6894).

=====

The following is a GGA-PBE calculation of crystalline K2PmSO6 at its relaxed geometry, from the Alexandria database.

The calculation puts the total moment at 1.0 μB per formula unit. The crystal system is trigonal.

It has space group P-3m1 (No. 164), with a = 6.1862 Å, b = 6.1862 Å, c = 5.7924 Å, α = 90.00°, β = 90.00° and γ = 120.00°. The asymmetric unit holds K at (0.3333, 0.6667, 0.4092), Pm at (0.0000, 0.0000, 0.0000), S at (0.0000, 0.0000, 0.5000) and O at (0.1286, 0.2572, 0.6707).

=====

The following is a GGA-PBE calculation of crystalline KPmSO5 at its relaxed geometry, from the Alexandria database.

The calculation puts the total moment at 0.0 μB per formula unit. The crystal system is monoclinic.

It has space group C2/c (No. 15), with a = 7.631 Å, b = 9.822 Å, c = 8.119 Å, α = 90.00°, β = 116.52° and γ = 90.00°. The asymmetric unit holds K at (0.000, 0.166, 0.250), Pm at (0.000, 0.500, 0.000), S at (0.000, 0.182, 0.750), O at (0.000, 0.416, 0.250), O at (0.076, 0.270, 0.645) and O at (0.159, 0.092, 0.882).

=====

The following is a GGA-PBE calculation of crystalline KPmSO at its relaxed geometry, from the Alexandria database.

The calculation puts the total moment at 0.0 μB per formula unit. The crystal system is trigonal.

It has space group R3m (No. 160, hexagonal axes), with a = 3.8549 Å, b = 3.8549 Å, c = 20.8808 Å, α = 90.00°, β = 90.00° and γ = 120.00°. The asymmetric unit holds K at (0.0000, 0.0000, 0.0000), Pm at (0.0000, 0.0000, 0.5156), S at (0.0000, 0.0000, 0.7662) and O at (0.0000, 0.0000, 0.2296).

=====

Energy relative to the elements, uncorrected, record by record: -1.706 -2.268 -1.847 -2.015 -1.472 -1.575 -2.156 -2.181 eV per atom
Total DFT energy (no corrections), record by record: -252.117 -301.502 -81.699 -151.997 -58.124 -56.572 -208.044 -70.973 eV per cell